K3H4Pd2: optimized geometry, PBE.

The space group is C2/c (No. 15) and the conventional cell measures 8.886, 12.986 and 6.047 Å, with angles of 90.00, 111.37 and 90.00 degrees. The inequivalent atoms are K at (0.000, 0.075, 0.250), K at (0.115, 0.372, 0.566), H at (0.134, 0.257, 0.022), H at (0.232, 0.061, 0.713) and Pd at (0.184, 0.163, 0.852).

The calculation puts the excess energy over the best structure of this formula in the dataset at 20 meV/atom. Its crystal system is monoclinic. Its size of the total moment is 0.00 μB per cell. The value obtained for the energy is -115.70 eV per cell. The calculation puts the density of states at the Fermi level at 5.4 states/eV/cell.